Zn4RuCl: relaxed, PBE.

The uncorrected formation energy is 32.5 kJ/mol of atoms. The energy is -14.20 eV/f.u. As for the symmetry: No. 216.

Unit cell a=5.117 b=5.117 c=5.117 alpha=60.00 beta=60.00 gamma=60.00
Positions (direct):
Zn (0.376, 0.376, 0.376)
Zn (0.376, 0.376, 0.871)
Zn (0.376, 0.871, 0.376)
Zn (0.871, 0.376, 0.376)
Ru (0.750, 0.750, 0.750)
Cl (0.000, 0.000, 0.000)

ZnRu2Cl: relaxed, PBE.

The uncorrected formation energy is 54.3 kJ/mol of atoms. The energy is -19.42 eV/f.u. As for the symmetry: No. 47.

Unit cell a=2.804 b=4.420 c=4.866 alpha=90.00 beta=90.00 gamma=90.00
Positions (direct):
Zn (0.000, 0.000, 0.000)
Ru (0.000, 0.500, 0.500)
Ru (0.500, 0.500, 0.000)
Cl (0.500, 0.000, 0.500)

ZnRu2Cl: relaxed, PBE.

The uncorrected formation energy is 4.0 kJ/mol of atoms. The energy is -21.51 eV/f.u. As for the symmetry: No. 25.

Unit cell a=2.886 b=2.907 c=7.665 alpha=90.00 beta=90.00 gamma=90.00
Positions (direct):
Zn (0.000, 0.000, 0.000)
Ru (0.000, 0.000, 0.433)
Ru (0.500, 0.500, 0.226)
Cl (0.500, 0.000, 0.695)

ZnRu2Cl: relaxed, PBE.

The uncorrected formation energy is 99.3 kJ/mol of atoms. The energy is -17.56 eV/f.u. As for the symmetry: No. 122.

Unit cell a=6.273 b=6.273 c=6.273 alpha=126.32 beta=126.32 gamma=79.37
Positions (direct):
Zn (0.000, 0.000, 0.000)
Zn (0.750, 0.250, 0.500)
Ru (0.165, 0.625, 0.040)
Ru (0.375, 0.415, 0.540)
Ru (0.585, 0.125, 0.960)
Ru (0.875, 0.835, 0.460)
Cl (0.250, 0.750, 0.500)
Cl (0.500, 0.500, 0.000)

Question: What is the energy in the fourth record?
Answer: -17.56 eV/f.u.

Please write out number 3 again, unchanged.
ZnRu2Cl: relaxed, PBE.

The uncorrected formation energy is 4.0 kJ/mol of atoms. The energy is -21.51 eV/f.u. As for the symmetry: No. 25.

Unit cell a=2.886 b=2.907 c=7.665 alpha=90.00 beta=90.00 gamma=90.00
Positions (direct):
Zn (0.000, 0.000, 0.000)
Ru (0.000, 0.000, 0.433)
Ru (0.500, 0.500, 0.226)
Cl (0.500, 0.000, 0.695)